Density functional theory data (PBEsol) for crystalline MgTi3Ni at its relaxed geometry.

Geometry as POSCAR:
```
MgTi3Ni
1.0
4.542 0.000 0.000
0.000 4.542 0.000
0.000 0.000 4.542
Mg Ti Ni
1 3 1
Cartesian
0.000 0.000 0.000 Mg
0.000 2.271 2.271 Ti
2.271 0.000 2.271 Ti
2.271 2.271 0.000 Ti
2.271 2.271 2.271 Ni
```

Values from the calculation:
- Space group: Pm-3m

Density functional theory data (PBEsol) for crystalline MgTlNi at its relaxed geometry.

Geometry as POSCAR:
```
MgTlNi
1.0
-1.664 1.664 4.564
1.664 -1.664 4.564
1.664 1.664 -4.564
Mg Tl Ni
1 1 1
Cartesian
0.000 0.000 0.000 Mg
0.000 0.000 2.792 Tl
0.000 0.000 5.875 Ni
```

Values from the calculation:
- Space group: I4mm

Density functional theory data (PBEsol) for crystalline Mg2TlNi2 at its relaxed geometry.

Geometry as POSCAR:
```
Mg2TlNi2
1.0
6.666 0.000 0.000
0.000 6.666 0.000
0.000 0.000 3.666
Mg Tl Ni
4 2 4
Cartesian
1.077 2.256 0.000 Mg
2.256 5.589 0.000 Mg
4.410 1.077 0.000 Mg
5.589 4.410 0.000 Mg
0.000 0.000 1.833 Tl
3.333 3.333 1.833 Tl
0.853 4.186 1.833 Ni
2.481 0.853 1.833 Ni
4.186 5.814 1.833 Ni
5.814 2.481 1.833 Ni
```

Values from the calculation:
- Space group: P4/mbm

Density functional theory data (PBEsol) for crystalline Mg2TlNi2 at its relaxed geometry.

Geometry as POSCAR:
```
Mg2TlNi2
1.0
-1.954 1.954 5.608
1.954 -1.954 5.608
1.954 1.954 -5.608
Mg Tl Ni
2 1 2
Cartesian
1.954 0.000 2.804 Mg
0.000 1.954 2.804 Mg
0.000 0.000 0.000 Tl
0.000 0.000 4.490 Ni
0.000 0.000 6.725 Ni
```

Values from the calculation:
- Space group: I4/mmm

Density functional theory data (PBEsol) for crystalline MgTlNi at its relaxed geometry.

Geometry as POSCAR:
```
MgTlNi
1.0
0.000 3.058 3.058
3.058 0.000 3.058
3.058 3.058 0.000
Mg Tl Ni
1 1 1
Cartesian
0.000 0.000 0.000 Mg
3.058 3.058 3.058 Tl
4.587 4.587 4.587 Ni
```

Values from the calculation:
- Space group: F-43m

Density functional theory data (PBEsol) for crystalline MgTl2Ni at its relaxed geometry.

Geometry as POSCAR:
```
MgTl2Ni
1.0
-2.226 2.226 3.871
2.226 -2.226 3.871
2.226 2.226 -3.871
Mg Tl Ni
1 2 1
Cartesian
0.000 0.000 0.000 Mg
2.226 0.000 1.936 Tl
0.000 2.226 1.936 Tl
0.000 0.000 3.871 Ni
```

Values from the calculation:
- Space group: I4/mmm

Density functional theory data (PBEsol) for crystalline MgTl2Ni at its relaxed geometry.

Geometry as POSCAR:
```
MgTl2Ni
1.0
3.867 0.000 0.000
0.000 3.287 0.000
-1.917 0.000 6.714
Mg Tl Ni
1 2 1
Cartesian
0.000 0.000 0.000 Mg
0.012 1.643 4.649 Tl
1.942 0.000 2.597 Tl
1.933 1.643 0.534 Ni
```

Values from the calculation:
- Space group: Pm

Density functional theory data (PBEsol) for crystalline YMgTl2Ni at its relaxed geometry.

Geometry as POSCAR:
```
YMgTl2Ni
1.0
5.048 0.000 0.000
0.000 5.048 0.000
0.000 0.000 5.584
Y Mg Tl Ni
1 1 2 1
Cartesian
0.000 0.000 0.000 Y
0.000 0.000 2.792 Mg
0.000 2.524 2.792 Tl
2.524 0.000 2.792 Tl
2.524 2.524 0.000 Ni
```

Values from the calculation:
- Space group: P4/mmm

Number 1: formation enthalpy at 0 K 0.34 eV per atom. Number 2: formation enthalpy at 0 K 0.02 eV per atom. Number 3: formation enthalpy at 0 K -0.06 eV per atom. Number 4: formation enthalpy at 0 K 0.20 eV per atom. Number 5: formation enthalpy at 0 K 0.03 eV per atom. Number 6: formation enthalpy at 0 K 0.18 eV per atom. Number 7: formation enthalpy at 0 K 0.08 eV per atom. Number 8: formation enthalpy at 0 K 0.97 eV per atom.